[1]
# Tb3NdO

Tb3NdO after structural relaxation (PBE, Alexandria).

a = 4.9901 Å, b = 4.9901 Å, c = 4.9901 Å
α = 90.00°, β = 90.00°, γ = 90.00°
Fractional positions:
Tb (0.0000, 0.0000, 0.5000)
Tb (0.0000, 0.5000, 0.0000)
Tb (0.5000, 0.0000, 0.0000)
Nd (0.5000, 0.5000, 0.5000)
O (0.0000, 0.0000, 0.0000)

Values from the calculation:
VASP energy = -0.426 Ry per atom


[2]
# Na12SbAu6

Na12SbAu6 after structural relaxation (PBE, Alexandria).

a = 8.7268 Å, b = 8.7268 Å, c = 8.7268 Å
α = 109.47°, β = 109.47°, γ = 109.47°
Fractional positions:
Na (0.1119, 0.8250, 0.2869)
Na (0.1750, 0.2869, 0.4619)
Na (0.1750, 0.7131, 0.8881)
Na (0.2869, 0.1119, 0.8250)
Na (0.2869, 0.4619, 0.1750)
Na (0.4619, 0.1750, 0.2869)
Na (0.5381, 0.8250, 0.7131)
Na (0.7131, 0.5381, 0.8250)
Na (0.7131, 0.8881, 0.1750)
Na (0.8250, 0.2869, 0.1119)
Na (0.8250, 0.7131, 0.5381)
Na (0.8881, 0.1750, 0.7131)
Sb (0.0000, 0.0000, 0.0000)
Au (0.1376, 0.6376, 0.5000)
Au (0.3624, 0.5000, 0.8624)
Au (0.5000, 0.1376, 0.6376)
Au (0.5000, 0.8624, 0.3624)
Au (0.6376, 0.5000, 0.1376)
Au (0.8624, 0.3624, 0.5000)

Values from the calculation:
VASP energy = -0.171 Ry per atom


[3]
# Ni3WN

Ni3WN after structural relaxation (PBE, Alexandria).

a = 3.8125 Å, b = 3.8125 Å, c = 3.8125 Å
α = 90.00°, β = 90.00°, γ = 90.00°
Fractional positions:
Ni (0.0000, 0.0000, 0.5000)
Ni (0.0000, 0.5000, 0.0000)
Ni (0.5000, 0.0000, 0.0000)
W (0.5000, 0.5000, 0.5000)
N (0.0000, 0.0000, 0.0000)

Values from the calculation:
energy relative to the lowest polymorph listed for this composition = 0.0000 eV/atom
VASP energy = -0.535 Ry per atom


[4]
# BaCrCd3

BaCrCd3 after structural relaxation (PBE, Alexandria).

a = 6.5118 Å, b = 6.5118 Å, c = 6.5118 Å
α = 90.00°, β = 90.00°, γ = 90.00°
Fractional positions:
Ba (0.0000, 0.0000, 0.0000)
Cr (0.5000, 0.5000, 0.5000)
Cd (0.0000, 0.0000, 0.5000)
Cd (0.0000, 0.5000, 0.0000)
Cd (0.5000, 0.0000, 0.0000)

Values from the calculation:
ΔH_f (0 K) = 1.63 eV/atom
energy relative to the lowest polymorph listed for this composition = 1.5013 eV/atom
VASP energy = -0.090 Ry per atom


[5]
# KCa2Cd9

KCa2Cd9 after structural relaxation (PBE, Alexandria).

a = 10.3104 Å, b = 10.3104 Å, c = 10.3104 Å
α = 34.60°, β = 34.60°, γ = 34.60°
Fractional positions:
K (0.0000, 0.0000, 0.0000)
Ca (0.1444, 0.1444, 0.1444)
Ca (0.8556, 0.8556, 0.8556)
Cd (0.0770, 0.5903, 0.5903)
Cd (0.3352, 0.3352, 0.3352)
Cd (0.4097, 0.4097, 0.9230)
Cd (0.4097, 0.9230, 0.4097)
Cd (0.5000, 0.5000, 0.5000)
Cd (0.5903, 0.0770, 0.5903)
Cd (0.5903, 0.5903, 0.0770)
Cd (0.6648, 0.6648, 0.6648)
Cd (0.9230, 0.4097, 0.4097)

Values from the calculation:
ΔH_f (0 K) = -0.20 eV/atom
VASP energy = -0.096 Ry per atom


[6]
# Pm6AlGa2

Pm6AlGa2 after structural relaxation (PBE, Alexandria).

a = 8.8137 Å, b = 8.8137 Å, c = 8.8137 Å
α = 111.72°, β = 111.31°, γ = 105.45°
Fractional positions:
Pm (0.0464, 0.2439, 0.8025)
Pm (0.1789, 0.2737, 0.4526)
Pm (0.1789, 0.7263, 0.9052)
Pm (0.3248, 0.0329, 0.7081)
Pm (0.3248, 0.6167, 0.2919)
Pm (0.4414, 0.2439, 0.1975)
Pm (0.5586, 0.7561, 0.8025)
Pm (0.6752, 0.3833, 0.7081)
Pm (0.6752, 0.9671, 0.2919)
Pm (0.8211, 0.2737, 0.0948)
Pm (0.8211, 0.7263, 0.5474)
Pm (0.9536, 0.7561, 0.1975)
Al (0.0000, 0.0000, 0.0000)
Al (0.5000, 0.5000, 0.0000)
Ga (0.1213, 0.6213, 0.5000)
Ga (0.3527, 0.0000, 0.3527)
Ga (0.6473, 0.0000, 0.6473)
Ga (0.8787, 0.3787, 0.5000)

Values from the calculation:
ΔH_f (0 K) = -0.34 eV/atom
VASP energy = -0.338 Ry per atom


[7]
# Na2ScMo

Na2ScMo after structural relaxation (PBE, Alexandria).

a = 7.2067 Å, b = 7.2067 Å, c = 7.2067 Å
α = 90.00°, β = 90.00°, γ = 90.00°
Fractional positions:
Na (0.2500, 0.2500, 0.2500)
Na (0.2500, 0.2500, 0.7500)
Na (0.2500, 0.7500, 0.2500)
Na (0.2500, 0.7500, 0.7500)
Na (0.7500, 0.2500, 0.2500)
Na (0.7500, 0.2500, 0.7500)
Na (0.7500, 0.7500, 0.2500)
Na (0.7500, 0.7500, 0.7500)
Sc (0.0000, 0.0000, 0.0000)
Sc (0.0000, 0.5000, 0.5000)
Sc (0.5000, 0.0000, 0.5000)
Sc (0.5000, 0.5000, 0.0000)
Mo (0.0000, 0.0000, 0.5000)
Mo (0.0000, 0.5000, 0.0000)
Mo (0.5000, 0.0000, 0.0000)
Mo (0.5000, 0.5000, 0.5000)

Values from the calculation:
ΔH_f (0 K) = 1.16 eV/atom
energy relative to the lowest polymorph listed for this composition = 0.3001 eV/atom
VASP energy = -0.279 Ry per atom


[8]
# HoB2Mo

HoB2Mo after structural relaxation (PBE, Alexandria).

a = 3.3687 Å, b = 3.3687 Å, c = 17.0160 Å
α = 90.00°, β = 90.00°, γ = 120.00°
Fractional positions:
Ho (0.0000, 0.0000, 0.0000)
Ho (0.3333, 0.6667, 0.6667)
Ho (0.6667, 0.3333, 0.3333)
B (0.0000, 0.0000, 0.2340)
B (0.0000, 0.0000, 0.7660)
B (0.3333, 0.6667, 0.4326)
B (0.3333, 0.6667, 0.9007)
B (0.6667, 0.3333, 0.0993)
B (0.6667, 0.3333, 0.5674)
Mo (0.0000, 0.0000, 0.5000)
Mo (0.3333, 0.6667, 0.1667)
Mo (0.6667, 0.3333, 0.8333)

Values from the calculation:
ΔH_f (0 K) = -0.12 eV/atom
VASP energy = -0.538 Ry per atom


[9]
# YPaRh2

YPaRh2 after structural relaxation (PBE, Alexandria).

a = 3.4664 Å, b = 3.4664 Å, c = 6.9759 Å
α = 90.00°, β = 90.00°, γ = 90.00°
Fractional positions:
Y (0.0000, 0.0000, 0.0000)
Pa (0.0000, 0.0000, 0.5000)
Rh (0.5000, 0.5000, 0.2826)
Rh (0.5000, 0.5000, 0.7174)

Values from the calculation:
ΔH_f (0 K) = -0.76 eV/atom
energy relative to the lowest polymorph listed for this composition = 0.1116 eV/atom
VASP energy = -0.619 Ry per atom


[10]
# K4Sm3TmSe8

K4Sm3TmSe8 after structural relaxation (PBE, Alexandria).

a = 9.1362 Å, b = 9.1362 Å, c = 9.1362 Å
α = 55.67°, β = 55.67°, γ = 55.67°
Fractional positions:
K (0.0000, 0.0000, 0.0000)
K (0.0000, 0.5000, 0.5000)
K (0.5000, 0.0000, 0.5000)
K (0.5000, 0.5000, 0.0000)
Sm (0.0000, 0.0000, 0.5000)
Sm (0.0000, 0.5000, 0.0000)
Sm (0.5000, 0.0000, 0.0000)
Tm (0.5000, 0.5000, 0.5000)
Se (0.2366, 0.2366, 0.2366)
Se (0.2428, 0.7318, 0.7318)
Se (0.2682, 0.2682, 0.7572)
Se (0.2682, 0.7572, 0.2682)
Se (0.7318, 0.2428, 0.7318)
Se (0.7318, 0.7318, 0.2428)
Se (0.7572, 0.2682, 0.2682)
Se (0.7634, 0.7634, 0.7634)

Values from the calculation:
VASP energy = -0.363 Ry per atom


[11]
# Rb4PbI5

Rb4PbI5 after structural relaxation (PBE, Alexandria).

a = 8.9655 Å, b = 8.9655 Å, c = 8.9655 Å
α = 100.26°, β = 100.26°, γ = 130.07°
Fractional positions:
Rb (0.0949, 0.7054, 0.8003)
Rb (0.2946, 0.0949, 0.3895)
Rb (0.7054, 0.9051, 0.6105)
Rb (0.9051, 0.2946, 0.1997)
Pb (0.5007, 0.5007, 0.0000)
I (0.0012, 0.0012, 0.0000)
I (0.2188, 0.4098, 0.6283)
I (0.4098, 0.7815, 0.1910)
I (0.5905, 0.2188, 0.8090)
I (0.7815, 0.5905, 0.3717)

Values from the calculation:
VASP energy = -0.198 Ry per atom


[12]
# TlB2Mo2

TlB2Mo2 after structural relaxation (PBE, Alexandria).

a = 6.9359 Å, b = 6.9359 Å, c = 3.1175 Å
α = 90.00°, β = 90.00°, γ = 90.00°
Fractional positions:
Tl (0.0000, 0.0000, 0.0000)
Tl (0.5000, 0.5000, 0.0000)
B (0.0958, 0.4042, 0.5000)
B (0.4042, 0.9042, 0.5000)
B (0.5958, 0.0958, 0.5000)
B (0.9042, 0.5958, 0.5000)
Mo (0.1360, 0.6360, 0.0000)
Mo (0.3640, 0.1360, 0.0000)
Mo (0.6360, 0.8640, 0.0000)
Mo (0.8640, 0.3640, 0.0000)

Values from the calculation:
ΔH_f (0 K) = 0.63 eV/atom
energy relative to the lowest polymorph listed for this composition = 0.0566 eV/atom
VASP energy = -0.503 Ry per atom